Zr4ZnBr (PBE, optimized geometry); electronic total energy = -34.3 eV/cell; density of states at the Fermi level = 6.147 states/eV/f.u.
1.0
0.000 4.119 4.119
4.119 0.000 4.119
4.119 4.119 0.000
Br Zn Zr
1 1 4
Direct
0.750 0.750 0.750
0.000 0.000 0.000
0.372 0.372 0.372
0.372 0.883 0.372
0.883 0.372 0.372
0.372 0.372 0.883

=====

Y2ZrCl (PBE, optimized geometry); electronic total energy = -24.7 eV/cell; density of states at the Fermi level = 4.118 states/eV/f.u.
1.0
3.361 0.000 0.000
0.000 3.361 0.000
0.000 0.000 10.000
Y Zr Cl
2 1 1
Direct
0.500 0.500 0.254
0.000 0.000 0.969
0.000 0.000 0.477
0.500 0.500 0.801

=====

UReB (PBE, optimized geometry); formation energy = -0.200 eV per atom; electronic total energy = -62.0 eV/cell; density of states at the Fermi level = 4.416 states/eV/f.u.
1.0
-0.599 1.732 -2.571
-4.092 -3.309 0.663
-2.545 3.789 3.145
U Re B
2 2 2
Direct
0.694 0.388 0.250
0.306 0.612 0.750
0.000 0.000 0.000
0.000 0.000 0.500
0.593 0.186 0.750
0.407 0.814 0.250

=====

no.,M_tot (μB/f.u.)
1,0.00
2,0.00
3,0.72